Entry 1:
Crystalline Pm3Dy8Th at its relaxed geometry. Source: the Alexandria database, functional PBE. Values from VASP.

Geometry as Quantum ESPRESSO input:
```
&SYSTEM
  ibrav = 0, nat = 12, ntyp = 3
/
ATOMIC_SPECIES
Pm 145.00 Pm.upf
Dy 162.50 Dy.upf
Th 232.04 Th.upf
ATOMIC_POSITIONS angstrom
Pm 0.024 4.221 -0.037
Pm 3.578 1.948 5.023
Pm 5.963 2.416 1.397
Dy 2.991 1.195 0.718
Dy 0.611 4.974 4.267
Dy -4.161 4.975 1.129
Dy 7.762 1.196 3.858
Dy 0.463 1.866 2.861
Dy 5.514 0.528 -1.484
Dy -1.912 5.641 6.470
Dy 3.139 4.303 2.125
Th 2.320 4.831 -3.526
CELL_PARAMETERS angstrom
8.324 -1.338 -2.192
-6.004 6.169 -1.335
1.282 1.338 8.512
```

## Properties
Total moment (μB per formula unit): 0.000
Energy of formation from the pure elements (eV per atom): 0.314
Calculated total energy (Ha/atom): -0.1676



Entry 2:
Crystalline CsErAg2I6 at its relaxed geometry. Source: the Alexandria database, functional PBE. Values from VASP.

Geometry as Quantum ESPRESSO input:
```
&SYSTEM
  ibrav = 0, nat = 20, ntyp = 4
/
ATOMIC_SPECIES
Cs 132.91 Cs.upf
Er 167.26 Er.upf
Ag 107.87 Ag.upf
I 126.90 I.upf
ATOMIC_POSITIONS angstrom
Cs 6.490 -2.218 -8.086
Cs 6.816 -11.522 -2.859
Er 7.297 -7.618 -0.326
Er 6.010 -6.122 -10.619
Ag 7.666 -5.862 -5.739
Ag 6.010 -3.232 -3.737
Ag 5.640 -7.877 -5.205
Ag 7.296 -10.507 -7.208
I 12.360 -6.120 -6.713
I 1.274 -2.689 -3.174
I 0.947 -7.620 -4.232
I 12.033 -11.050 -7.771
I 8.118 -5.654 -8.721
I 5.130 -0.573 -4.875
I 5.188 -8.085 -2.223
I 8.176 -13.166 -6.070
I 8.807 -3.433 -4.718
I 4.793 -5.149 -5.495
I 4.499 -10.307 -6.227
I 8.514 -8.590 -5.450
CELL_PARAMETERS angstrom
-0.979 -7.683 -5.245
6.524 1.115 -8.803
7.762 -7.171 3.104
```

## Properties
ΔE_f (raw) (eV per atom): -0.894
Total moment (μB per formula unit): 0.000
Calculated total energy (Ha/atom): -0.1079